Entry 1:
4
Lattice="4.216 0.000 0.000 -2.108 3.652 0.000 0.000 0.000 7.619" Properties=species:S:1:pos:R:3 comment="Th2HgIr PBE relaxed" crystal_system=trigonal dft_energy_ev_per_atom=-6.5901 de_polymorph_ev_per_atom=0.020 spacegroup="No. 164" pbc="T T T"
Th 0.000 2.434 2.286
Th 2.108 1.217 5.333
Hg 0.000 0.000 0.000
Ir 0.000 0.000 3.809

---

Entry 2:
10
Lattice="8.313 0.000 0.000 0.000 4.065 0.000 -2.496 0.000 8.879" Properties=species:S:1:pos:R:3 comment="Th2TlHgIr PBE relaxed" crystal_system=monoclinic dft_energy_ev_per_atom=-5.6601 spacegroup="No. 11" pbc="T T T"
Th 0.224 1.016 3.707
Th -0.108 1.016 7.560
Th 5.924 3.049 1.319
Th 5.593 3.049 5.172
Tl 0.955 3.049 1.002
Tl 4.862 1.016 7.877
Hg 3.193 1.016 1.900
Hg 2.623 3.049 6.978
Ir 0.175 3.049 5.650
Ir 5.642 1.016 3.229

---

Entry 3:
4
Lattice="4.121 0.000 0.000 2.058 3.584 0.000 0.022 2.369 7.413" Properties=species:S:1:pos:R:3 comment="TmThHgIr PBE relaxed" crystal_system=triclinic dft_energy_ev_per_atom=-5.9116 de_polymorph_ev_per_atom=0.000 spacegroup="No. 1" pbc="T T T"
Tm 0.000 0.000 0.000
Th 2.080 3.565 4.448
Hg 4.135 2.371 2.090
Ir 4.141 4.758 5.960

---

Entry 4:
4
Lattice="0.000 3.623 3.623 3.623 0.000 3.623 3.623 3.623 0.000" Properties=species:S:1:pos:R:3 comment="TmThHgIr PBE relaxed" crystal_system=cubic dft_energy_ev_per_atom=-5.7686 de_polymorph_ev_per_atom=0.143 spacegroup="No. 216" pbc="T T T"
Tm 0.000 0.000 0.000
Th 3.623 3.623 3.623
Hg 5.435 5.435 5.435
Ir 1.812 1.812 1.812

---

Entry 5:
4
Lattice="2.065 1.192 7.548 -2.065 1.192 7.548 0.000 -2.384 7.548" Properties=species:S:1:pos:R:3 comment="YThHgIr PBE relaxed" crystal_system=trigonal dft_energy_ev_per_atom=-6.3944 de_polymorph_ev_per_atom=0.000 spacegroup="No. 160" pbc="T T T"
Y 0.000 0.000 0.000
Th 0.000 0.000 4.513
Hg 0.000 0.000 17.265
Ir 0.000 0.000 13.553

---

Entry 6:
4
Lattice="0.000 3.645 3.645 3.645 0.000 3.645 3.645 3.645 0.000" Properties=species:S:1:pos:R:3 comment="YThHgIr PBE relaxed" crystal_system=cubic dft_energy_ev_per_atom=-6.2490 de_polymorph_ev_per_atom=0.145 spacegroup="No. 216" pbc="T T T"
Y 0.000 0.000 0.000
Th 3.645 3.645 3.645
Hg 1.822 1.822 1.822
Ir 5.467 5.467 5.467

---

Entry 7:
10
Lattice="6.898 0.000 0.000 0.000 4.359 0.000 -0.827 0.000 8.557" Properties=species:S:1:pos:R:3 comment="Th2ZnHgIr PBE relaxed" crystal_system=monoclinic dft_energy_ev_per_atom=-5.5046 spacegroup="No. 11" pbc="T T T"
Th 0.862 1.090 2.995
Th 0.778 1.090 7.968
Th 5.292 3.269 0.589
Th 5.209 3.269 5.562
Zn 3.110 3.269 3.177
Zn 2.961 1.090 5.381
Hg 1.437 3.269 5.572
Hg 4.634 1.090 2.985
Ir 1.338 3.269 1.247
Ir 4.732 1.090 7.311

---

Entry 8:
5
Lattice="4.842 0.000 0.000 0.000 4.842 0.000 0.000 0.000 4.842" Properties=species:S:1:pos:R:3 comment="Ti3HgIr PBE relaxed" crystal_system=cubic dft_energy_ev_per_atom=-5.1366 de_polymorph_ev_per_atom=1.201 spacegroup="No. 221" pbc="T T T"
Ti 0.000 0.000 2.421
Ti 0.000 2.421 0.000
Ti 2.421 0.000 0.000
Hg 0.000 0.000 0.000
Ir 2.421 2.421 2.421

---

Entry 9:
6
Lattice="3.058 0.000 0.000 0.000 3.058 0.000 0.000 0.000 10.887" Properties=species:S:1:pos:R:3 comment="Ti4HgIr PBE relaxed" crystal_system=tetragonal dft_energy_ev_per_atom=-7.1717 spacegroup="No. 123" pbc="T T T"
Ti 0.000 0.000 1.614
Ti 0.000 0.000 9.273
Ti 1.529 1.529 3.395
Ti 1.529 1.529 7.492
Hg 0.000 0.000 5.443
Ir 1.529 1.529 0.000

---

Entry 10:
5
Lattice="-2.090 2.090 5.346 2.090 -2.090 5.346 2.090 2.090 -5.346" Properties=species:S:1:pos:R:3 comment="Ti2HgIr2 PBE relaxed" crystal_system=tetragonal dft_energy_ev_per_atom=-7.1827 de_polymorph_ev_per_atom=0.141 spacegroup="No. 139" pbc="T T T"
Ti 2.090 0.000 2.673
Ti 0.000 2.090 2.673
Hg 0.000 0.000 0.000
Ir 0.000 0.000 4.075
Ir 0.000 0.000 6.616

---

Entry 11:
5
Lattice="5.163 0.000 0.000 0.000 5.163 0.000 0.000 0.000 5.163" Properties=species:S:1:pos:R:3 comment="TiHg3Ir PBE relaxed" crystal_system=cubic dft_energy_ev_per_atom=-2.5928 de_polymorph_ev_per_atom=0.000 spacegroup="No. 221" pbc="T T T"
Ti 0.000 0.000 0.000
Hg 0.000 2.582 2.582
Hg 2.582 0.000 2.582
Hg 2.582 2.582 0.000
Ir 2.582 2.582 2.582

---

Entry 12:
5
Lattice="4.775 0.000 0.000 0.000 4.775 0.000 0.000 0.000 4.775" Properties=species:S:1:pos:R:3 comment="Ti3HgIr PBE relaxed" crystal_system=cubic dft_energy_ev_per_atom=-6.3377 de_polymorph_ev_per_atom=0.000 spacegroup="No. 221" pbc="T T T"
Ti 0.000 0.000 2.387
Ti 0.000 2.387 0.000
Ti 2.387 0.000 0.000
Hg 2.387 2.387 2.387
Ir 0.000 0.000 0.000

---

Entry 13:
10
Lattice="7.664 0.000 0.000 0.000 7.664 0.000 0.000 0.000 2.899" Properties=species:S:1:pos:R:3 comment="Ti2HgIr2 PBE relaxed" crystal_system=tetragonal dft_energy_ev_per_atom=-7.1913 de_polymorph_ev_per_atom=0.132 spacegroup="No. 127" pbc="T T T"
Ti 1.130 2.702 0.000
Ti 2.702 6.534 0.000
Ti 4.962 1.130 0.000
Ti 6.534 4.962 0.000
Hg 0.000 0.000 0.000
Hg 3.832 3.832 0.000
Ir 1.069 4.901 1.450
Ir 2.763 1.069 1.450
Ir 4.901 6.595 1.450
Ir 6.595 2.763 1.450

---

Entry 14:
10
Lattice="7.541 0.000 0.000 0.000 7.541 0.000 0.000 0.000 2.947" Properties=species:S:1:pos:R:3 comment="Ti2HgIr2 PBE relaxed" crystal_system=tetragonal dft_energy_ev_per_atom=-7.3235 de_polymorph_ev_per_atom=0.000 spacegroup="No. 127" pbc="T T T"
Ti 1.183 2.588 0.000
Ti 2.588 6.358 0.000
Ti 4.954 1.183 0.000
Ti 6.358 4.954 0.000
Hg 0.000 0.000 1.474
Hg 3.771 3.771 1.474
Ir 1.022 4.793 1.474
Ir 2.748 1.022 1.474
Ir 4.793 6.519 1.474
Ir 6.519 2.748 1.474

---

Entry 15:
4
Lattice="3.087 -3.743 0.000 3.087 3.743 0.000 0.000 0.000 3.098" Properties=species:S:1:pos:R:3 comment="TlHgIr2 PBE relaxed" crystal_system=orthorhombic dft_energy_ev_per_atom=-4.4793 de_polymorph_ev_per_atom=0.189 spacegroup="No. 65" pbc="T T T"
Tl 0.000 0.000 0.000
Hg 3.087 0.000 0.000
Ir 1.544 1.871 1.549
Ir 1.544 -1.871 1.549

---

Entry 16:
4
Lattice="1.512 -2.593 0.000 1.512 2.593 0.000 0.000 0.000 9.371" Properties=species:S:1:pos:R:3 comment="TlHgIr2 PBE relaxed" crystal_system=orthorhombic dft_energy_ev_per_atom=-4.4358 de_polymorph_ev_per_atom=0.233 spacegroup="No. 65" pbc="T T T"
Tl 0.000 0.000 0.000
Hg 0.000 0.000 4.685
Ir 1.512 0.000 2.329
Ir 1.512 0.000 7.042

---

Entry 17:
4
Lattice="1.545 0.892 8.810 -1.545 0.892 8.810 0.000 -1.784 8.810" Properties=species:S:1:pos:R:3 comment="TlHgIr2 PBE relaxed" crystal_system=trigonal dft_energy_ev_per_atom=-4.4772 de_polymorph_ev_per_atom=0.191 spacegroup="No. 166" pbc="T T T"
Tl 0.000 0.000 0.000
Hg 0.000 0.000 13.215
Ir 0.000 0.000 6.634
Ir 0.000 0.000 19.796

---

Entry 18:
4
Lattice="1.475 0.852 10.327 -1.475 0.852 10.327 0.000 -1.703 10.327" Properties=species:S:1:pos:R:3 comment="TlHgIr2 PBE relaxed" crystal_system=trigonal dft_energy_ev_per_atom=-4.5510 de_polymorph_ev_per_atom=0.117 spacegroup="No. 160" pbc="T T T"
Tl 0.000 0.000 0.000
Hg 0.000 0.000 23.949
Ir 0.000 0.000 7.768
Ir 0.000 0.000 16.059

---

Entry 19:
5
Lattice="5.336 0.000 0.000 0.000 5.336 0.000 0.000 0.000 5.336" Properties=species:S:1:pos:R:3 comment="Tl3HgIr PBE relaxed" crystal_system=cubic dft_energy_ev_per_atom=-3.1883 de_polymorph_ev_per_atom=0.000 spacegroup="No. 221" pbc="T T T"
Tl 0.000 0.000 2.668
Tl 0.000 2.668 0.000
Tl 2.668 0.000 0.000
Hg 2.668 2.668 2.668
Ir 0.000 0.000 0.000

---

Entry 20:
10
Lattice="7.757 0.000 0.000 0.000 7.757 0.000 0.000 0.000 3.318" Properties=species:S:1:pos:R:3 comment="Tl2HgIr2 PBE relaxed" crystal_system=tetragonal dft_energy_ev_per_atom=-4.1075 de_polymorph_ev_per_atom=0.000 spacegroup="No. 127" pbc="T T T"
Tl 1.236 2.643 0.000
Tl 2.643 6.522 0.000
Tl 5.114 1.236 0.000
Tl 6.522 5.114 0.000
Hg 0.000 0.000 1.659
Hg 3.879 3.879 1.659
Ir 1.084 4.963 1.659
Ir 2.794 1.084 1.659
Ir 4.963 6.673 1.659
Ir 6.673 2.794 1.659